The following is a DFT calculation (GGA-PBE) of TbTm5Tl3 after structural relaxation.

DOS at the Fermi energy in states/eV/cell: 19.60
Energy relative to the elements in eV per atom: -0.245
Space group: No. 193

Cell lengths 9.269, 9.269, 6.662 Å; angles 90.00, 90.00, 120.00 degrees
Positions (direct):
Tb 0.000 0.000 0.000
Tb 0.000 0.000 0.500
Tm 0.000 0.333 0.250
Tm 0.000 0.667 0.750
Tm 0.333 0.000 0.250
Tm 0.333 0.333 0.750
Tm 0.333 0.667 0.000
Tm 0.333 0.667 0.500
Tm 0.667 0.000 0.750
Tm 0.667 0.333 0.000
Tm 0.667 0.333 0.500
Tm 0.667 0.667 0.250
Tl 0.000 0.335 0.750
Tl 0.000 0.665 0.250
Tl 0.335 0.000 0.750
Tl 0.335 0.335 0.250
Tl 0.665 0.000 0.250
Tl 0.665 0.665 0.750


The following is a DFT calculation (GGA-PBE) of TlAg3Au after structural relaxation.

DOS at the Fermi energy in states/eV/cell: 1.42
Energy relative to the elements in eV per atom: 0.429
Space group: No. 221

Cell lengths 5.230, 5.230, 5.230 Å; angles 90.00, 90.00, 90.00 degrees
Positions (direct):
Tl 0.000 0.000 0.000
Ag 0.000 0.500 0.500
Ag 0.500 0.000 0.500
Ag 0.500 0.500 0.000
Au 0.500 0.500 0.500


The following is a DFT calculation (GGA-PBE) of ErNiPt after structural relaxation.

DOS at the Fermi energy in states/eV/cell: 2.45
Energy relative to the elements in eV per atom: -0.799
Space group: No. 187

Cell lengths 4.213, 4.213, 3.652 Å; angles 90.00, 90.00, 120.00 degrees
Positions (direct):
Er 0.000 0.000 0.000
Ni 0.333 0.667 0.500
Pt 0.667 0.333 0.500


The following is a DFT calculation (GGA-PBE) of Zn4CrSi after structural relaxation.

DOS at the Fermi energy in states/eV/cell: 1.78
ΔE_f (raw) in eV per atom: 0.27
Space group: No. 216

Cell lengths 5.068, 5.068, 5.068 Å; angles 60.00, 60.00, 60.00 degrees
Positions (direct):
Zn 0.376 0.376 0.376
Zn 0.376 0.376 0.873
Zn 0.376 0.873 0.376
Zn 0.873 0.376 0.376
Cr 0.750 0.750 0.750
Si 0.000 0.000 0.000


The following is a DFT calculation (GGA-PBE) of Ba2MgSe2 after structural relaxation.

DOS at the Fermi energy in states/eV/cell: 0.18
ΔE_f (raw) in eV per atom: -1.37
Space group: No. 127

Cell lengths 8.732, 8.732, 4.314 Å; angles 90.00, 90.00, 90.00 degrees
Positions (direct):
Ba 0.153 0.347 0.000
Ba 0.347 0.847 0.000
Ba 0.653 0.153 0.000
Ba 0.847 0.653 0.000
Mg 0.000 0.000 0.500
Mg 0.500 0.500 0.500
Se 0.155 0.655 0.500
Se 0.345 0.155 0.500
Se 0.655 0.845 0.500
Se 0.845 0.345 0.500


The following is a DFT calculation (GGA-PBE) of NpSiTc2 after structural relaxation.

DOS at the Fermi energy in states/eV/cell: 4.48
ΔE_f (raw) in eV per atom: 0.16
Space group: No. 166

Cell lengths 8.743, 8.743, 8.743 Å; angles 19.44, 19.44, 19.44 degrees
Positions (direct):
Np 0.000 0.000 0.000
Si 0.500 0.500 0.500
Tc 0.096 0.096 0.096
Tc 0.904 0.904 0.904


The following is a DFT calculation (GGA-PBE) of CoSb3 after structural relaxation.

DOS at the Fermi energy in states/eV/cell: 2.68
ΔE_f (raw) in eV per atom: 0.03
Space group: No. 65

Cell lengths 5.501, 5.501, 4.000 Å; angles 90.00, 90.00, 127.01 degrees
Positions (direct):
Co 0.000 0.000 0.000
Sb 0.165 0.835 0.500
Sb 0.500 0.500 0.000
Sb 0.835 0.165 0.500


The following is a DFT calculation (GGA-PBE) of ThU2Fe9 after structural relaxation.

DOS at the Fermi energy in states/eV/cell: 16.93
Energy relative to the elements in eV per atom: -0.075
Space group: No. 166

Cell lengths 8.825, 8.825, 8.825 Å; angles 32.45, 32.45, 32.45 degrees
Positions (direct):
Th 0.000 0.000 0.000
U 0.146 0.146 0.146
U 0.854 0.854 0.854
Fe 0.083 0.583 0.583
Fe 0.333 0.333 0.333
Fe 0.417 0.417 0.917
Fe 0.417 0.917 0.417
Fe 0.500 0.500 0.500
Fe 0.583 0.083 0.583
Fe 0.583 0.583 0.083
Fe 0.667 0.667 0.667
Fe 0.917 0.417 0.417


The following is a DFT calculation (GGA-PBE) of Be3Br after structural relaxation.

DOS at the Fermi energy in states/eV/cell: 6.10
ΔE_f (raw) in eV per atom: 1.18
Space group: No. 223

Cell lengths 4.736, 4.736, 4.736 Å; angles 90.00, 90.00, 90.00 degrees
Positions (direct):
Be 0.000 0.250 0.500
Be 0.000 0.750 0.500
Be 0.250 0.500 0.000
Be 0.500 0.000 0.250
Be 0.500 0.000 0.750
Be 0.750 0.500 0.000
Br 0.000 0.000 0.000
Br 0.500 0.500 0.500


The following is a DFT calculation (GGA-PBE) of Rb2PuPbO4 after structural relaxation.

DOS at the Fermi energy in states/eV/cell: 5.12
ΔE_f (raw) in eV per atom: -1.89
Space group: No. 10

Cell lengths 6.417, 3.640, 6.898 Å; angles 90.00, 108.28, 90.00 degrees
Positions (direct):
Rb 0.000 0.000 0.000
Rb 0.500 0.500 0.000
Pu 0.000 0.500 0.500
Pb 0.500 0.000 0.500
O 0.199 0.000 0.682
O 0.220 0.500 0.317
O 0.780 0.500 0.683
O 0.801 0.000 0.318


The following is a DFT calculation (GGA-PBE) of ErSiTc2Ge after structural relaxation.

DOS at the Fermi energy in states/eV/cell: 9.44
ΔE_f (raw) in eV per atom: -0.51
Space group: No. 63

Cell lengths 5.922, 5.922, 5.854 Å; angles 90.00, 90.00, 121.25 degrees
Positions (direct):
Er 0.248 0.752 0.750
Er 0.752 0.248 0.250
Si 0.119 0.881 0.250
Si 0.881 0.119 0.750
Tc 0.254 0.254 0.000
Tc 0.254 0.254 0.500
Tc 0.746 0.746 0.000
Tc 0.746 0.746 0.500
Ge 0.359 0.641 0.250
Ge 0.641 0.359 0.750


The following is a DFT calculation (GGA-PBE) of Ni13Sn2 after structural relaxation.

DOS at the Fermi energy in states/eV/cell: 26.49
Energy relative to the elements in eV per atom: 0.348
Space group: No. 166

Cell lengths 7.402, 7.402, 7.402 Å; angles 50.41, 50.41, 50.41 degrees
Positions (direct):
Ni 0.000 0.000 0.000
Ni 0.125 0.125 0.508
Ni 0.125 0.508 0.125
Ni 0.249 0.249 0.624
Ni 0.249 0.624 0.249
Ni 0.376 0.751 0.751
Ni 0.492 0.875 0.875
Ni 0.508 0.125 0.125
Ni 0.624 0.249 0.249
Ni 0.751 0.376 0.751
Ni 0.751 0.751 0.376
Ni 0.875 0.492 0.875
Ni 0.875 0.875 0.492
Sn 0.140 0.140 0.140
Sn 0.860 0.860 0.860


The following is a DFT calculation (GGA-PBE) of La4In21Pd10 after structural relaxation.

DOS at the Fermi energy in states/eV/cell: 13.13
Energy relative to the elements in eV per atom: -0.550
Space group: No. 12

Cell lengths 11.978, 11.978, 17.267 Å; angles 123.42, 123.42, 22.31 degrees
Positions (direct):
La 0.123 0.123 0.335
La 0.229 0.229 0.827
La 0.771 0.771 0.173
La 0.877 0.877 0.665
In 0.010 0.010 0.094
In 0.066 0.066 0.799
In 0.117 0.117 0.554
In 0.200 0.200 0.003
In 0.252 0.252 0.295
In 0.299 0.299 0.499
In 0.371 0.371 0.802
In 0.385 0.385 0.296
In 0.399 0.399 0.001
In 0.458 0.458 0.632
In 0.500 0.500 0.500
In 0.542 0.542 0.368
In 0.601 0.601 0.999
In 0.615 0.615 0.704
In 0.629 0.629 0.198
In 0.701 0.701 0.501
In 0.748 0.748 0.705
In 0.800 0.800 0.997
In 0.883 0.883 0.446
In 0.934 0.934 0.201
In 0.990 0.990 0.906
Pd 0.024 0.024 0.611
Pd 0.136 0.136 0.107
Pd 0.251 0.251 0.616
Pd 0.346 0.346 0.111
Pd 0.495 0.495 0.814
Pd 0.505 0.505 0.186
Pd 0.654 0.654 0.889
Pd 0.749 0.749 0.384
Pd 0.864 0.864 0.893
Pd 0.976 0.976 0.389


The following is a DFT calculation (GGA-PBE) of Mg7B after structural relaxation.

DOS at the Fermi energy in states/eV/cell: 2.93
Energy relative to the elements in eV per atom: 0.354
Space group: No. 187

Cell lengths 6.180, 6.180, 4.817 Å; angles 90.00, 90.00, 120.00 degrees
Positions (direct):
Mg 0.000 0.000 0.000
Mg 0.016 0.508 0.000
Mg 0.333 0.166 0.500
Mg 0.492 0.508 0.000
Mg 0.492 0.984 0.000
Mg 0.834 0.166 0.500
Mg 0.834 0.667 0.500
B 0.333 0.667 0.500


The following is a DFT calculation (GGA-PBE) of Na3MnAg3I8 after structural relaxation.

DOS at the Fermi energy in states/eV/cell: 0.00
ΔE_f (raw) in eV per atom: -0.64
Space group: No. 166

Cell lengths 8.977, 8.977, 8.977 Å; angles 59.12, 59.12, 59.12 degrees
Positions (direct):
Na 0.000 0.500 0.500
Na 0.500 0.000 0.500
Na 0.500 0.500 0.000
Mn 0.500 0.500 0.500
Ag 0.000 0.000 0.500
Ag 0.000 0.500 0.000
Ag 0.500 0.000 0.000
I 0.244 0.244 0.244
I 0.258 0.733 0.733
I 0.267 0.267 0.742
I 0.267 0.742 0.267
I 0.733 0.258 0.733
I 0.733 0.733 0.258
I 0.742 0.267 0.267
I 0.756 0.756 0.756


The following is a DFT calculation (GGA-PBE) of NdPuCd17 after structural relaxation.

DOS at the Fermi energy in states/eV/cell: 19.47
Energy relative to the elements in eV per atom: -0.094
Space group: No. 160

Cell lengths 7.692, 7.692, 7.692 Å; angles 81.98, 81.98, 81.98 degrees
Positions (direct):
Nd 0.000 0.000 0.000
Pu 0.659 0.659 0.659
Cd 0.028 0.332 0.633
Cd 0.028 0.633 0.332
Cd 0.197 0.680 0.680
Cd 0.236 0.236 0.236
Cd 0.317 0.317 0.848
Cd 0.317 0.848 0.317
Cd 0.332 0.028 0.633
Cd 0.332 0.633 0.028
Cd 0.434 0.434 0.434
Cd 0.526 0.959 0.959
Cd 0.633 0.028 0.332
Cd 0.633 0.332 0.028
Cd 0.680 0.197 0.680
Cd 0.680 0.680 0.197
Cd 0.848 0.317 0.317
Cd 0.959 0.526 0.959
Cd 0.959 0.959 0.526


The following is a DFT calculation (GGA-PBE) of Na3IrRh3O8 after structural relaxation.

DOS at the Fermi energy in states/eV/cell: 7.76
ΔE_f (raw) in eV per atom: -1.02
Space group: No. 166

Cell lengths 6.402, 6.402, 6.402 Å; angles 59.13, 59.13, 59.13 degrees
Positions (direct):
Na 0.000 0.500 0.500
Na 0.500 0.000 0.500
Na 0.500 0.500 0.000
Ir 0.500 0.500 0.500
Rh 0.000 0.000 0.500
Rh 0.000 0.500 0.000
Rh 0.500 0.000 0.000
O 0.232 0.232 0.232
O 0.233 0.727 0.727
O 0.273 0.273 0.767
O 0.273 0.767 0.273
O 0.727 0.233 0.727
O 0.727 0.727 0.233
O 0.767 0.273 0.273
O 0.768 0.768 0.768


The following is a DFT calculation (GGA-PBE) of YTi2VH after structural relaxation.

DOS at the Fermi energy in states/eV/cell: 7.34
Uncorrected energy in eV/atom: -5.86
Space group: No. 123

Cell lengths 4.378, 4.378, 5.848 Å; angles 90.00, 90.00, 90.00 degrees
Positions (direct):
Y 0.000 0.000 0.000
Ti 0.000 0.500 0.500
Ti 0.500 0.000 0.500
V 0.000 0.000 0.500
H 0.500 0.500 0.000


The following is a DFT calculation (GGA-PBE) of Li2ZnSn after structural relaxation.

DOS at the Fermi energy in states/eV/cell: 1.81
Energy relative to the elements in eV per atom: -0.246
Space group: No. 123

Cell lengths 4.107, 4.107, 4.221 Å; angles 90.00, 90.00, 90.00 degrees
Positions (direct):
Li 0.000 0.500 0.000
Li 0.500 0.000 0.000
Zn 0.000 0.000 0.500
Sn 0.500 0.500 0.500


The following is a DFT calculation (GGA-PBE) of SrCdTe after structural relaxation.

DOS at the Fermi energy in states/eV/cell: 0.45
ΔE_f (raw) in eV per atom: -0.64
Space group: No. 216

Cell lengths 5.608, 5.608, 5.608 Å; angles 60.00, 60.00, 60.00 degrees
Positions (direct):
Sr 0.000 0.000 0.000
Cd 0.500 0.500 0.500
Te 0.250 0.250 0.250